# Fe2BrO

A geometry-optimized Fe2BrO structure (PBE+U, the Alexandria database).

a = 6.0920 Å, b = 6.0920 Å, c = 6.0920 Å
α = 90.00°, β = 90.00°, γ = 90.00°
Closest atoms and distances in Å follow each position.
Sites, in units of the cell vectors:
Fe 0.2500 0.2500 0.2500  4 O 2.64, 4 Br 2.64
Fe 0.2500 0.2500 0.7500  4 O 2.64, 4 Br 2.64
Fe 0.2500 0.7500 0.2500  4 O 2.64, 4 Br 2.64
Fe 0.2500 0.7500 0.7500  4 O 2.64, 4 Br 2.64
Fe 0.7500 0.2500 0.2500  4 O 2.64, 4 Br 2.64
Fe 0.7500 0.2500 0.7500  4 O 2.64, 4 Br 2.64
Fe 0.7500 0.7500 0.2500  4 O 2.64, 4 Br 2.64
Fe 0.7500 0.7500 0.7500  4 O 2.64, 4 Br 2.64
Br 0.0000 0.0000 0.0000  8 Fe 2.64
Br 0.0000 0.5000 0.5000  8 Fe 2.64
Br 0.5000 0.0000 0.5000  8 Fe 2.64
Br 0.5000 0.5000 0.0000  8 Fe 2.64
O 0.0000 0.0000 0.5000  8 Fe 2.64
O 0.0000 0.5000 0.0000  8 Fe 2.64
O 0.5000 0.0000 0.0000  8 Fe 2.64
O 0.5000 0.5000 0.5000  8 Fe 2.64

Values from the calculation:
DFT total energy	-17.1	eV per formula unit
ΔE to the lowest computed polymorph	818.4	meV/atom
total magnetization	28.00	Bohr magnetons per cell
space-group type	Fm-3m, No. 225

# Fe3BrO

A geometry-optimized Fe3BrO structure (PBE+U, the Alexandria database).

a = 4.5414 Å, b = 4.5414 Å, c = 4.5414 Å
α = 90.00°, β = 90.00°, γ = 90.00°
Closest atoms and distances in Å follow each position.
Sites, in units of the cell vectors:
Fe 0.0000 0.0000 0.5000  2 Br 2.27
Fe 0.0000 0.5000 0.0000  2 Br 2.27
Fe 0.5000 0.0000 0.0000  2 Br 2.27
Br 0.0000 0.0000 0.0000  6 Fe 2.27
O 0.5000 0.5000 0.5000  12 Fe 3.21

Values from the calculation:
DFT total energy	-14.9	eV per formula unit
ΔE to the lowest computed polymorph	1554.4	meV/atom
total magnetization	9.16	Bohr magnetons per cell
space-group type	Pm-3m, No. 221

# Fe2BrO

A geometry-optimized Fe2BrO structure (PBE+U, the Alexandria database).

a = 5.2469 Å, b = 5.2469 Å, c = 11.1974 Å
α = 90.00°, β = 90.00°, γ = 90.00°
Closest atoms and distances in Å follow each position.
Sites, in units of the cell vectors:
Fe 0.1123 0.2500 0.1250  2 O 2.01
Fe 0.2500 0.6123 0.3750  2 O 2.01
Fe 0.2500 0.8877 0.8750  2 O 2.01
Fe 0.3877 0.2500 0.6250  2 O 2.01
Fe 0.6123 0.7500 0.6250  2 O 2.01
Fe 0.7500 0.1123 0.8750  2 O 2.01
Fe 0.7500 0.3877 0.3750  2 O 2.01
Fe 0.8877 0.7500 0.1250  2 O 2.01
Br 0.0000 0.0000 0.5000  4 Fe 2.80
Br 0.0000 0.5000 0.7500  4 Fe 2.80
Br 0.5000 0.0000 0.2500  4 Fe 2.80
Br 0.5000 0.5000 0.0000  4 Fe 2.80
O 0.0000 0.0000 0.0000  4 Fe 2.01
O 0.0000 0.5000 0.2500  4 Fe 2.01
O 0.5000 0.0000 0.7500  4 Fe 2.01
O 0.5000 0.5000 0.5000  4 Fe 2.01

Values from the calculation:
DFT total energy	-20.4	eV per formula unit
ΔE to the lowest computed polymorph	0.0	meV/atom
total magnetization	28.49	Bohr magnetons per cell
space-group type	I-42d, No. 122

Which formula does entry 3 have?
Fe2BrO

Copy entry 3 word for word.
# Fe2BrO

A geometry-optimized Fe2BrO structure (PBE+U, the Alexandria database).

a = 5.2469 Å, b = 5.2469 Å, c = 11.1974 Å
α = 90.00°, β = 90.00°, γ = 90.00°
Closest atoms and distances in Å follow each position.
Sites, in units of the cell vectors:
Fe 0.1123 0.2500 0.1250  2 O 2.01
Fe 0.2500 0.6123 0.3750  2 O 2.01
Fe 0.2500 0.8877 0.8750  2 O 2.01
Fe 0.3877 0.2500 0.6250  2 O 2.01
Fe 0.6123 0.7500 0.6250  2 O 2.01
Fe 0.7500 0.1123 0.8750  2 O 2.01
Fe 0.7500 0.3877 0.3750  2 O 2.01
Fe 0.8877 0.7500 0.1250  2 O 2.01
Br 0.0000 0.0000 0.5000  4 Fe 2.80
Br 0.0000 0.5000 0.7500  4 Fe 2.80
Br 0.5000 0.0000 0.2500  4 Fe 2.80
Br 0.5000 0.5000 0.0000  4 Fe 2.80
O 0.0000 0.0000 0.0000  4 Fe 2.01
O 0.0000 0.5000 0.2500  4 Fe 2.01
O 0.5000 0.0000 0.7500  4 Fe 2.01
O 0.5000 0.5000 0.5000  4 Fe 2.01

Values from the calculation:
DFT total energy	-20.4	eV per formula unit
ΔE to the lowest computed polymorph	0.0	meV/atom
total magnetization	28.49	Bohr magnetons per cell
space-group type	I-42d, No. 122

Number 1 is which compound?
Fe2BrO